## TmZnFe (PBE)

Data for a relaxed TmZnFe crystal.

- Energy of formation: -0.14 eV/atom
- Mass density: 8.8 Mg/m³
- Space group: C2/m
- V: 110 Å³ per cell
- Energy: -4.880 eV per atom

The structure in POSCAR format:
```
TmZnFe
1.0
5.670 -1.978 0.000
5.670 1.978 0.000
-1.136 0.000 4.895
Tm Zn Fe
2 2 2
Direct
0.122 0.122 0.314
0.878 0.878 0.686
0.414 0.414 0.247
0.586 0.586 0.753
0.223 0.223 0.883
0.777 0.777 0.117
```